Ac4AgSe5 after structural relaxation. Source: Alexandria, functional PBE-GGA.

Uncorrected formation energy = -1597.5 meV per atom
Volume = 904.5 Å³ per cell
Total DFT energy (no corrections) = -5.27 eV/atom

Cell: 4.4892 4.4892 51.8255 Å, 90.00 90.00 120.00°
Space group R-3m (No. 166, hexagonal axes)
Asymmetric unit:
Ac 0.0000 0.0000 0.1053
Ac 0.0000 0.0000 0.2987
Ag 0.0000 0.0000 0.5000
Se 0.0000 0.0000 0.0000
Se 0.0000 0.0000 0.1951
Se 0.0000 0.0000 0.4035

=====

Ac2AgSe after structural relaxation. Source: Alexandria, functional PBE-GGA.

Uncorrected formation energy = -733.3 meV per atom
Volume = 486.3 Å³ per cell
Distance to the lowest polymorph of the same formula = 235 meV per atom
Total DFT energy (no corrections) = -4.37 eV/atom

Cell: 7.864 7.864 7.864 Å, 90.00 90.00 90.00°
Space group Fm-3m (No. 225)
Asymmetric unit:
Ac 0.250 0.250 0.250
Ag 0.000 0.000 0.000
Se 0.000 0.000 0.500